Entry from Alexandria: crystalline SmCoB2Ir at its relaxed geometry (PBE-GGA).

```
SmCoB2Ir
1.0
-1.860 1.860 4.943
1.860 -1.860 4.943
1.860 1.860 -4.943
Sm Co B Ir
1 1 2 1
direct
0.000 0.000 0.000 Sm
0.750 0.250 0.500 Co
0.347 0.347 0.000 B
0.653 0.653 0.000 B
0.250 0.750 0.500 Ir
```

Calculated values
Uncorrected energy = -37.02 eV/f.u.
ΔH_f (0 K) = -0.597 eV/atom